Entry from Alexandria: crystalline Li6SbP at its relaxed geometry (PBE).

Cell lengths 4.4421, 4.4421, 21.7069 Å; angles 90.00, 90.00, 120.00 degrees
Closest atoms and distances in Å follow each position.
Space group R-3m (No. 166, hexagonal axes)
Symmetry-distinct sites (fractional):
Li: 0.0000 0.0000 0.1163  1 P 2.52, 4 Li 2.63-2.79, 3 Sb 2.79
Li: 0.0000 0.0000 0.2449  8 Li 2.63-2.81
Li: 0.0000 0.0000 0.3684  3 P 2.68, 7 Li 2.68-2.98, 1 Sb 2.86
Sb: 0.0000 0.0000 0.5000  14 Li 2.79-3.08
P: 0.0000 0.0000 0.0000  8 Li 2.52-2.68

formation energy without anion corrections = -0.62 eV/atom
calculated volume = 371 Å³ per cell
calculated total energy = -77.98 eV per cell

***

Entry from Alexandria: crystalline PdAuN2O at its relaxed geometry (PBE).

Cell lengths 3.9719, 3.9719, 4.1885 Å; angles 90.00, 90.00, 90.00 degrees
Closest atoms and distances in Å follow each position.
Space group P4/mmm (No. 123)
Symmetry-distinct sites (fractional):
Pd: 0.0000 0.0000 0.0000  4 N 1.99, 2 O 2.09
Au: 0.5000 0.5000 0.5000  4 O 2.81, 8 N 2.89
N: 0.0000 0.5000 0.0000  2 Pd 1.99
O: 0.0000 0.0000 0.5000  2 Pd 2.09

formation energy without anion corrections = 1.65 eV/atom
calculated volume = 66 Å³ per cell
calculated total energy = -21.85 eV per cell

***

Entry from Alexandria: crystalline YMgZrMn2 at its relaxed geometry (PBE).

Cell lengths 4.5570, 4.5570, 5.2118 Å; angles 90.00, 90.00, 90.00 degrees
Closest atoms and distances in Å follow each position.
Space group P4/mmm (No. 123)
Symmetry-distinct sites (fractional):
Y: 0.0000 0.0000 0.0000  4 Mg 3.22, 8 Mn 3.46
Mg: 0.5000 0.5000 0.0000  2 Zr 2.61
Zr: 0.5000 0.5000 0.5000  4 Mn 2.28
Mn: 0.0000 0.5000 0.5000  2 Zr 2.28

calculated volume = 108 Å³ per cell
calculated total energy = -29.58 eV per cell
DFT formation energy = 1.0735 eV per atom